Compound: CeTiZnGa
Source: Alexandria
Functional: PBE
Structure: optimized geometry

Properties
Energy of formation ... -0.227 eV per atom
Raw total energy ... -4.759 eV per atom
N(E_F) ... 32.4 states/eV/cell

Structure (POSCAR):
```
CeTiZnGa
1.0
6.854 0.000 0.000
0.000 6.854 0.000
0.000 0.000 6.854
Ce Ti Zn Ga
4 4 4 4
Cartesian
0.000 0.000 0.000
0.000 3.427 3.427
3.427 0.000 3.427
3.427 3.427 0.000
0.000 0.000 3.427
0.000 3.427 0.000
3.427 0.000 0.000
3.427 3.427 3.427
1.714 1.714 1.714
1.714 5.141 5.141
5.141 1.714 5.141
5.141 5.141 1.714
1.714 1.714 5.141
1.714 5.141 1.714
5.141 1.714 1.714
5.141 5.141 5.141
```